Material: Mg5Ag3
Method: DFT, PBEsol
State: optimized geometry

```
Mg5Ag3
1.0
5.368 0.000 0.000
2.684 7.538 0.000
2.684 0.000 7.538
Ag Mg
6 10
direct
0.333 0.500 0.834
0.750 0.000 0.000
0.250 0.000 0.000
0.833 0.834 0.500
0.167 0.166 0.500
0.667 0.500 0.166
0.278 0.300 0.145
0.077 0.700 0.145
0.577 0.145 0.700
0.423 0.855 0.300
0.722 0.700 0.855
0.778 0.145 0.300
0.923 0.300 0.855
0.250 0.500 0.500
0.222 0.855 0.700
0.750 0.500 0.500
```

Total DFT energy (no corrections): -20.0 eV/f.u.
Spin magnetization: 0.000 μB per cell
DOS(E_F): 1.8 states/eV/f.u.
Excess energy over the best structure of this formula in the dataset: 0 meV per atom
Energy of formation: -142 kJ/mol of formula units

---

Material: MgAg5
Method: DFT, PBEsol
State: optimized geometry

```
MgAg5
1.0
4.990 0.013 0.058
2.506 4.315 0.058
2.553 1.474 4.740
Ag Mg
5 1
direct
0.832 0.833 0.503
0.332 0.668 0.000
0.000 0.331 0.000
0.669 0.000 0.000
0.167 0.168 0.497
0.500 0.500 0.500
```

Total DFT energy (no corrections): -18.9 eV/f.u.
Spin magnetization: 0.000 μB per cell
DOS(E_F): 1.7 states/eV/f.u.
Energy of formation: -62 kJ/mol of formula units

---

Material: Mg3Ag
Method: DFT, PBEsol
State: optimized geometry

```
Mg3Ag
1.0
3.316 0.000 0.000
0.000 3.422 0.000
0.000 0.000 7.011
Ag Mg
1 3
direct
0.000 0.000 0.000
0.000 0.000 0.500
0.500 0.500 0.221
0.500 0.500 0.779
```

Total DFT energy (no corrections): -8.9 eV/f.u.
Spin magnetization: 0.000 μB per cell
DOS(E_F): 1.2 states/eV/f.u.
Energy of formation: -45 kJ/mol of formula units

---

Material: Mg3Ag
Method: DFT, PBEsol
State: optimized geometry

```
Mg3Ag
1.0
-0.331 -1.341 2.821
1.857 -1.323 -2.160
7.343 5.011 3.243
Mg Ag
3 1
direct
0.000 0.000 0.500
0.667 0.333 0.770
0.667 0.333 0.230
0.000 0.000 0.000
```

Total DFT energy (no corrections): -8.7 eV/f.u.
Spin magnetization: 0.000 μB per cell
DOS(E_F): 1.6 states/eV/f.u.
Energy of formation: -25 kJ/mol of formula units